1.
Compound: Ho3AsPbS
Source: the Alexandria database
Functional: PBE-GGA
Structure: relaxed

abc: 4.0874 7.2008 10.9721
angles: 102.66 90.00 90.00
With the nearest neighbours (Å) after each atom.
Fractional positions:
1 Ho 0.7500 0.0439 0.1556  1 S 2.80, 3 As 2.91-2.93
2 Ho 0.2500 0.4412 0.8373  1 S 2.80, 3 As 2.93-2.95
3 Ho 0.2500 0.7578 0.4928  3 S 2.73-2.77
4 Ho 0.2500 0.9561 0.8444  1 S 2.80, 3 As 2.91-2.93
5 Ho 0.7500 0.5588 0.1627  1 S 2.80, 3 As 2.93-2.95
6 Ho 0.7500 0.2422 0.5072  3 S 2.73-2.77
7 S 0.7500 0.8751 0.3629  5 Ho 2.73-2.80
8 S 0.2500 0.1249 0.6371  5 Ho 2.73-2.80
9 As 0.7500 0.2345 0.9459  6 Ho 2.91-2.95
10 As 0.2500 0.7655 0.0541  6 Ho 2.91-2.95
11 Pb 0.2500 0.3512 0.3103  7 Ho 3.16-3.21
12 Pb 0.7500 0.6488 0.6897  7 Ho 3.16-3.21

Raw formation energy = -1.278 eV per atom
E_tot = -5.65 eV/atom


2.
Compound: Ho4AsPbS2
Source: the Alexandria database
Functional: PBE-GGA
Structure: relaxed

abc: 4.0307 7.0880 7.1554
angles: 70.75 90.00 90.00
With the nearest neighbours (Å) after each atom.
Fractional positions:
1 As 0.0000 0.5000 0.5000  6 Ho 2.88-2.90
2 Ho 0.0000 0.2309 0.2697  3 S 2.77-2.91, 1 As 2.90, 2 Pb 3.00
3 Ho 0.5000 0.2425 0.7429  3 S 2.82-2.88, 2 As 2.88, 1 Pb 2.99
4 Ho 0.5000 0.7575 0.2571  3 S 2.82-2.88, 2 As 2.88, 1 Pb 2.99
5 Ho 0.0000 0.7691 0.7303  3 S 2.77-2.91, 1 As 2.90, 2 Pb 3.00
6 S 0.5000 0.0000 0.5000  6 Ho 2.77-2.82
7 S 0.0000 0.0000 0.0000  6 Ho 2.88-2.91
8 Pb 0.5000 0.5000 0.0000  6 Ho 2.99-3.00

Raw formation energy = -1.436 eV per atom
E_tot = -5.80 eV/atom